Entry 1:
Density functional theory data (PBE-GGA) for a relaxed structure of BaTbSm4Se8.

Values from the calculation:
Raw formation energy (eV per atom): -1.789
Total magnetic moment (μB per atom): 0.000
N(E_F) (states/eV per atom): 0.3065

Lattice parameters (Å, degrees): 8.718 8.718 8.718 60.31 60.31 60.31
Fractional coordinates of all 14 atoms:
Ba (0.000, 0.000, 0.000)
Tb (0.626, 0.626, 0.626)
Sm (0.119, 0.626, 0.626)
Sm (0.249, 0.249, 0.249)
Sm (0.626, 0.119, 0.626)
Sm (0.626, 0.626, 0.119)
Se (0.381, 0.381, 0.381)
Se (0.384, 0.384, 0.850)
Se (0.384, 0.850, 0.384)
Se (0.424, 0.855, 0.855)
Se (0.850, 0.384, 0.384)
Se (0.855, 0.424, 0.855)
Se (0.855, 0.855, 0.424)
Se (0.858, 0.858, 0.858)

***

Entry 2:
Density functional theory data (PBE-GGA) for a relaxed structure of Y2TeO6.

Values from the calculation:
Raw formation energy (eV per atom): -2.484
Total magnetic moment (μB per atom): 0.000
N(E_F) (states/eV per atom): 0.0000

Lattice parameters (Å, degrees): 5.529 5.741 9.487 90.00 119.66 90.00
Fractional coordinates of all 18 atoms:
Y (0.193, 0.067, 0.233)
Y (0.193, 0.433, 0.733)
Y (0.807, 0.567, 0.267)
Y (0.807, 0.933, 0.767)
Te (0.500, 0.000, 0.000)
Te (0.500, 0.500, 0.500)
O (0.173, 0.182, 0.954)
O (0.173, 0.318, 0.454)
O (0.237, 0.744, 0.885)
O (0.237, 0.756, 0.385)
O (0.469, 0.110, 0.799)
O (0.469, 0.390, 0.299)
O (0.531, 0.610, 0.701)
O (0.531, 0.890, 0.201)
O (0.763, 0.244, 0.615)
O (0.763, 0.256, 0.115)
O (0.827, 0.682, 0.546)
O (0.827, 0.818, 0.046)

***

Entry 3:
Density functional theory data (PBE-GGA) for a relaxed structure of SrAgSnCl6.

Values from the calculation:
Raw formation energy (eV per atom): -1.276
Total magnetic moment (μB per atom): 0.000
N(E_F) (states/eV per atom): 0.3776

Lattice parameters (Å, degrees): 6.877 6.877 6.243 90.00 90.00 120.00
Fractional coordinates of all 9 atoms:
Sr (0.000, 0.000, 0.000)
Ag (0.333, 0.667, 0.000)
Sn (0.667, 0.333, 0.500)
Cl (0.358, 0.001, 0.254)
Cl (0.358, 0.356, 0.746)
Cl (0.644, 0.001, 0.746)
Cl (0.644, 0.642, 0.254)
Cl (0.999, 0.356, 0.254)
Cl (0.999, 0.642, 0.746)

***

Entry 4:
Density functional theory data (PBE-GGA) for a relaxed structure of TbNdPa2P4.

Values from the calculation:
Formation enthalpy at 0 K (meV per atom): -1439
Total magnetic moment (μB per atom): 0.000
N(E_F) (states/eV per atom): 0.8155

Lattice parameters (Å, degrees): 6.970 4.024 6.978 90.00 109.45 90.00
Fractional coordinates of all 8 atoms:
Tb (0.000, 0.000, 0.000)
Nd (0.500, 0.500, 0.000)
Pa (0.000, 0.500, 0.500)
Pa (0.500, 0.000, 0.500)
P (0.242, 0.000, 0.737)
P (0.250, 0.500, 0.260)
P (0.750, 0.500, 0.740)
P (0.758, 0.000, 0.263)

***

Entry 5:
Density functional theory data (PBE-GGA) for a relaxed structure of YInRh2.

Values from the calculation:
Formation enthalpy at 0 K (meV per atom): -230
Total magnetic moment (μB per atom): 0.000
N(E_F) (states/eV per atom): 0.1621

Lattice parameters (Å, degrees): 5.999 5.999 5.999 105.66 105.66 117.39
Fractional coordinates of all 8 atoms:
Y (0.000, 0.000, 0.000)
Y (0.750, 0.250, 0.500)
In (0.250, 0.750, 0.500)
In (0.500, 0.500, 0.000)
Rh (0.137, 0.625, 0.012)
Rh (0.375, 0.387, 0.512)
Rh (0.613, 0.125, 0.988)
Rh (0.875, 0.863, 0.488)

***

Entry 6:
Density functional theory data (PBE-GGA) for a relaxed structure of SrInBiRu2.

Values from the calculation:
Formation enthalpy at 0 K (meV per atom): 1879
Total magnetic moment (μB per atom): 0.653
N(E_F) (states/eV per atom): 1.4857

Lattice parameters (Å, degrees): 5.001 5.001 6.058 90.00 90.00 90.00
Fractional coordinates of all 5 atoms:
Sr (0.000, 0.000, 0.000)
In (0.500, 0.500, 0.500)
Bi (0.000, 0.000, 0.500)
Ru (0.000, 0.500, 0.000)
Ru (0.500, 0.000, 0.000)

***

Entry 7:
Density functional theory data (PBE-GGA) for a relaxed structure of Ba2ZnSbPt6.

Values from the calculation:
Raw formation energy (eV per atom): -0.607
Total magnetic moment (μB per atom): 0.000
N(E_F) (states/eV per atom): 0.4035

Lattice parameters (Å, degrees): 7.032 7.032 8.721 128.02 128.02 47.89
Fractional coordinates of all 10 atoms:
Ba (0.239, 0.239, 0.289)
Ba (0.761, 0.761, 0.711)
Zn (0.500, 0.500, 0.000)
Sb (0.000, 0.000, 0.500)
Pt (0.234, 0.711, 0.227)
Pt (0.254, 0.254, 0.895)
Pt (0.289, 0.766, 0.773)
Pt (0.711, 0.234, 0.227)
Pt (0.746, 0.746, 0.105)
Pt (0.766, 0.289, 0.773)

***

Entry 8:
Density functional theory data (PBE-GGA) for a relaxed structure of SbAsS2.

Values from the calculation:
Polymorph energy (0 for the lowest one) (meV per atom): 398
Raw formation energy (eV per atom): 0.341
Total magnetic moment (μB per atom): 0.000
N(E_F) (states/eV per atom): 0.5593

Lattice parameters (Å, degrees): 4.772 4.772 4.772 60.00 60.00 60.00
Fractional coordinates of all 4 atoms:
Sb (0.000, 0.000, 0.000)
As (0.500, 0.500, 0.500)
S (0.250, 0.250, 0.250)
S (0.750, 0.750, 0.750)

***

Entry 9:
Density functional theory data (PBE-GGA) for a relaxed structure of SrCa3Bi2Se.

Values from the calculation:
Raw formation energy (eV per atom): -1.022
Total magnetic moment (μB per atom): 0.000
N(E_F) (states/eV per atom): 0.0175

Lattice parameters (Å, degrees): 9.276 9.276 9.276 146.04 144.77 49.74
Fractional coordinates of all 7 atoms:
Sr (0.000, 0.000, 0.000)
Ca (0.322, 0.822, 0.500)
Ca (0.500, 0.500, 0.000)
Ca (0.678, 0.178, 0.500)
Bi (0.135, 0.635, 0.500)
Bi (0.865, 0.365, 0.500)
Se (0.500, 0.000, 0.500)

***

Entry 10:
Density functional theory data (PBE-GGA) for a relaxed structure of SrTiP2.

Values from the calculation:
Formation enthalpy at 0 K (meV per atom): -996
Polymorph energy (0 for the lowest one) (meV per atom): 0
Total magnetic moment (μB per atom): 0.000
N(E_F) (states/eV per atom): 0.1580

Lattice parameters (Å, degrees): 7.107 7.107 7.107 30.94 30.94 30.94
Fractional coordinates of all 4 atoms:
Sr (0.000, 0.000, 0.000)
Ti (0.500, 0.500, 0.500)
P (0.232, 0.232, 0.232)
P (0.768, 0.768, 0.768)

***

Entry 11:
Density functional theory data (PBE-GGA) for a relaxed structure of SrNdSc.

Values from the calculation:
Formation enthalpy at 0 K (meV per atom): 173
Polymorph energy (0 for the lowest one) (meV per atom): 70
Total magnetic moment (μB per atom): 0.000
N(E_F) (states/eV per atom): 1.6686

Lattice parameters (Å, degrees): 8.062 8.062 8.062 153.03 153.03 38.51
Fractional coordinates of all 3 atoms:
Sr (0.000, 0.000, 0.000)
Nd (0.307, 0.307, 0.000)
Sc (0.672, 0.672, 0.000)

***

Entry 12:
Density functional theory data (PBE-GGA) for a relaxed structure of Sc2PaGe.

Values from the calculation:
Formation enthalpy at 0 K (meV per atom): -261
Polymorph energy (0 for the lowest one) (meV per atom): 0
Total magnetic moment (μB per atom): 0.000
N(E_F) (states/eV per atom): 1.2626

Lattice parameters (Å, degrees): 4.482 4.482 4.224 90.00 90.00 90.00
Fractional coordinates of all 4 atoms:
Sc (0.000, 0.500, 0.000)
Sc (0.500, 0.000, 0.000)
Pa (0.000, 0.000, 0.500)
Ge (0.500, 0.500, 0.500)

***

Entry 13:
Density functional theory data (PBE-GGA) for a relaxed structure of CrN2.

Values from the calculation:
Raw formation energy (eV per atom): 0.098
Total magnetic moment (μB per atom): 0.333
N(E_F) (states/eV per atom): 0.6656

Lattice parameters (Å, degrees): 2.567 2.951 4.086 90.00 90.00 90.00
Fractional coordinates of all 3 atoms:
Cr (0.000, 0.000, 0.000)
N (0.500, 0.000, 0.349)
N (0.500, 0.000, 0.651)

***

Entry 14:
Density functional theory data (PBE-GGA) for a relaxed structure of Ce2ErCo.

Values from the calculation:
Formation enthalpy at 0 K (meV per atom): 1
Polymorph energy (0 for the lowest one) (meV per atom): 138
Total magnetic moment (μB per atom): 0.039
N(E_F) (states/eV per atom): 2.1409

Lattice parameters (Å, degrees): 9.082 9.082 9.082 23.42 23.42 23.42
Fractional coordinates of all 4 atoms:
Ce (0.000, 0.000, 0.000)
Ce (0.212, 0.212, 0.212)
Er (0.438, 0.438, 0.438)
Co (0.606, 0.606, 0.606)

***

Entry 15:
Density functional theory data (PBE-GGA) for a relaxed structure of CrTc2PdSe.

Values from the calculation:
Raw formation energy (eV per atom): 1.124
Total magnetic moment (μB per atom): 0.006
N(E_F) (states/eV per atom): 1.4497

Lattice parameters (Å, degrees): 4.509 4.509 4.329 90.00 90.00 90.00
Fractional coordinates of all 5 atoms:
Cr (0.000, 0.000, 0.000)
Tc (0.000, 0.500, 0.500)
Tc (0.500, 0.000, 0.500)
Pd (0.500, 0.500, 0.000)
Se (0.000, 0.000, 0.500)

***

Entry 16:
Density functional theory data (PBE-GGA) for a relaxed structure of La2ReTe.

Values from the calculation:
Raw formation energy (eV per atom): -0.247
Total magnetic moment (μB per atom): 0.000
N(E_F) (states/eV per atom): 0.7378

Lattice parameters (Å, degrees): 6.789 6.789 6.789 149.14 136.91 53.93
Fractional coordinates of all 4 atoms:
La (0.000, 0.000, 0.000)
La (0.715, 0.215, 0.500)
Re (0.223, 0.723, 0.500)
Te (0.399, 0.399, 0.000)

***

Entry 17:
Density functional theory data (PBE-GGA) for a relaxed structure of ZrPb.

Values from the calculation:
Formation enthalpy at 0 K (meV per atom): 11
Total magnetic moment (μB per atom): 0.000
N(E_F) (states/eV per atom): 1.5739

Lattice parameters (Å, degrees): 3.639 3.639 3.639 90.00 90.00 90.00
Fractional coordinates of all 2 atoms:
Zr (0.000, 0.000, 0.000)
Pb (0.500, 0.500, 0.500)

***

Entry 18:
Density functional theory data (PBE-GGA) for a relaxed structure of Pm6ErTm3Th2.

Values from the calculation:
Formation enthalpy at 0 K (meV per atom): 40
Total magnetic moment (μB per atom): 0.000
N(E_F) (states/eV per atom): 1.4246

Lattice parameters (Å, degrees): 6.210 6.210 11.902 95.00 95.00 119.96
Fractional coordinates of all 12 atoms:
Pm (0.082, 0.417, 0.751)
Pm (0.247, 0.247, 0.250)
Pm (0.417, 0.082, 0.751)
Pm (0.583, 0.918, 0.249)
Pm (0.753, 0.753, 0.750)
Pm (0.918, 0.583, 0.249)
Er (0.500, 0.500, 0.000)
Tm (0.000, 0.000, 0.500)
Tm (0.333, 0.667, 0.500)
Tm (0.667, 0.333, 0.500)
Th (0.167, 0.833, 0.000)
Th (0.833, 0.167, 0.000)

***

Entry 19:
Density functional theory data (PBE-GGA) for a relaxed structure of BaNdZn4.

Values from the calculation:
Formation enthalpy at 0 K (meV per atom): -227
Polymorph energy (0 for the lowest one) (meV per atom): 0
Total magnetic moment (μB per atom): 0.000
N(E_F) (states/eV per atom): 0.8291

Lattice parameters (Å, degrees): 3.854 4.603 8.446 90.00 90.00 90.00
Fractional coordinates of all 6 atoms:
Ba (0.000, 0.000, 0.000)
Nd (0.000, 0.500, 0.500)
Zn (0.500, 0.000, 0.348)
Zn (0.500, 0.000, 0.652)
Zn (0.500, 0.500, 0.197)
Zn (0.500, 0.500, 0.803)

***

Entry 20:
Density functional theory data (PBE-GGA) for a relaxed structure of TmMgPt.

Values from the calculation:
Formation enthalpy at 0 K (meV per atom): -868
Total magnetic moment (μB per atom): 0.000
N(E_F) (states/eV per atom): 0.5641

Lattice parameters (Å, degrees): 4.642 4.642 4.642 60.00 60.00 60.00
Fractional coordinates of all 3 atoms:
Tm (0.000, 0.000, 0.000)
Mg (0.500, 0.500, 0.500)
Pt (0.250, 0.250, 0.250)

***

Entry 21:
Density functional theory data (PBE-GGA) for a relaxed structure of CsLiAg4.

Values from the calculation:
Formation enthalpy at 0 K (meV per atom): 123
Total magnetic moment (μB per atom): 0.000
N(E_F) (states/eV per atom): 0.2922

Lattice parameters (Å, degrees): 5.912 5.912 5.912 60.00 60.00 60.00
Fractional coordinates of all 6 atoms:
Cs (0.000, 0.000, 0.000)
Li (0.750, 0.750, 0.750)
Ag (0.376, 0.376, 0.376)
Ag (0.376, 0.376, 0.871)
Ag (0.376, 0.871, 0.376)
Ag (0.871, 0.376, 0.376)

***

Entry 22:
Density functional theory data (PBE-GGA) for a relaxed structure of TbYTm5Th2.

Values from the calculation:
Formation enthalpy at 0 K (meV per atom): 344
Total magnetic moment (μB per atom): 0.000
N(E_F) (states/eV per atom): 1.3619

Lattice parameters (Å, degrees): 9.804 9.804 9.804 127.19 127.19 77.94
Fractional coordinates of all 18 atoms:
Tb (0.250, 0.750, 0.500)
Tb (0.750, 0.250, 0.500)
Y (0.250, 0.250, 0.000)
Y (0.750, 0.750, 0.000)
Tm (0.000, 0.000, 0.000)
Tm (0.070, 0.570, 0.919)
Tm (0.151, 0.070, 0.500)
Tm (0.349, 0.849, 0.919)
Tm (0.430, 0.349, 0.500)
Tm (0.500, 0.500, 0.000)
Tm (0.570, 0.651, 0.500)
Tm (0.651, 0.151, 0.081)
Tm (0.849, 0.930, 0.500)
Tm (0.930, 0.430, 0.081)
Th (0.119, 0.381, 0.500)
Th (0.381, 0.881, 0.261)
Th (0.619, 0.119, 0.739)
Th (0.881, 0.619, 0.500)

***

Entry 23:
Density functional theory data (PBE-GGA) for a relaxed structure of PrThO.

Values from the calculation:
Raw formation energy (eV per atom): -1.613
Total magnetic moment (μB per atom): 0.000
N(E_F) (states/eV per atom): 0.8609

Lattice parameters (Å, degrees): 3.810 3.810 5.862 90.00 90.00 120.00
Fractional coordinates of all 3 atoms:
Pr (0.000, 0.000, 0.000)
Th (0.667, 0.333, 0.539)
O (0.333, 0.667, 0.732)

***

Entry 24:
Density functional theory data (PBE-GGA) for a relaxed structure of Pr6Sb2Te3S.

Values from the calculation:
Raw formation energy (eV per atom): -1.471
Total magnetic moment (μB per atom): 0.000
N(E_F) (states/eV per atom): 0.2956

Lattice parameters (Å, degrees): 10.079 10.079 9.010 103.84 103.84 25.49
Fractional coordinates of all 12 atoms:
Pr (0.000, 0.000, 0.218)
Pr (0.000, 0.000, 0.782)
Pr (0.333, 0.333, 0.422)
Pr (0.349, 0.349, 0.921)
Pr (0.651, 0.651, 0.079)
Pr (0.667, 0.667, 0.578)
Sb (0.166, 0.166, 0.332)
Sb (0.834, 0.834, 0.668)
Te (0.172, 0.172, 0.837)
Te (0.500, 0.500, 0.500)
Te (0.828, 0.828, 0.163)
S (0.500, 0.500, 0.000)

***

Entry 25:
Density functional theory data (PBE-GGA) for a relaxed structure of BaMnCuAs2.

Values from the calculation:
Formation enthalpy at 0 K (meV per atom): -584
Total magnetic moment (μB per atom): 0.796
N(E_F) (states/eV per atom): 0.3321

Lattice parameters (Å, degrees): 7.016 7.016 7.016 145.39 145.39 49.76
Fractional coordinates of all 5 atoms:
Ba (0.000, 0.000, 0.000)
Mn (0.750, 0.250, 0.500)
Cu (0.250, 0.750, 0.500)
As (0.358, 0.358, 0.000)
As (0.642, 0.642, 0.000)

***

Entry 26:
Density functional theory data (PBE-GGA) for a relaxed structure of ScTlHg2.

Values from the calculation:
Formation enthalpy at 0 K (meV per atom): -78
Total magnetic moment (μB per atom): 0.000
N(E_F) (states/eV per atom): 0.2887

Lattice parameters (Å, degrees): 5.103 5.103 5.103 60.00 60.00 60.00
Fractional coordinates of all 4 atoms:
Sc (0.000, 0.000, 0.000)
Tl (0.250, 0.250, 0.250)
Hg (0.500, 0.500, 0.500)
Hg (0.750, 0.750, 0.750)